## K3RbW (PBE-GGA)

Data for a relaxed structure of K3RbW.

CIF file:
```
data_K3RbW
_chemical_formula_sum 'K3 Rb1 W1'
_cell_length_a 7.2522
_cell_length_b 7.2522
_cell_length_c 7.2522
_cell_angle_alpha 90.00
_cell_angle_beta 90.00
_cell_angle_gamma 90.00
_space_group_name_H-M_alt 'P 1'
_space_group_IT_number 1
loop_
_space_group_symop_operation_xyz
'x,y,z'
loop_
_atom_site_label
_atom_site_type_symbol
_atom_site_fract_x
_atom_site_fract_y
_atom_site_fract_z
_atom_site_occupancy
K1 K 0.0000 0.5000 0.0000 1
K2 K 0.5000 0.0000 0.0000 1
W1 W 0.5000 0.5000 0.5000 1
Rb1 Rb 0.0000 0.0000 0.0000 1
K3 K 0.0000 0.0000 0.5000 1
```

Properties
M_tot ... 1.092 μB/atom
Energy of formation ... 1722 meV per atom
Space-group type ... No. 221
Relative energy among the computed polymorphs ... 235.3 kJ/mol of formula units
E ... -1.721 eV/atom
Crystal system ... cubic



## La2Sc2Bi (PBE-GGA)

Data for a relaxed structure of La2Sc2Bi.

CIF file:
```
data_La2Sc2Bi
_chemical_formula_sum 'La4 Sc4 Bi2'
_cell_length_a 7.8744
_cell_length_b 7.8744
_cell_length_c 4.9129
_cell_angle_alpha 90.00
_cell_angle_beta 90.00
_cell_angle_gamma 90.00
_space_group_name_H-M_alt 'P 1'
_space_group_IT_number 1
loop_
_space_group_symop_operation_xyz
'x,y,z'
loop_
_atom_site_label
_atom_site_type_symbol
_atom_site_fract_x
_atom_site_fract_y
_atom_site_fract_z
_atom_site_occupancy
La1 La 0.1565 0.6565 0.5000 1
La2 La 0.8435 0.3435 0.5000 1
Sc1 Sc 0.3600 0.8600 0.0000 1
Bi1 Bi 0.0000 0.0000 0.0000 1
Bi2 Bi 0.5000 0.5000 0.0000 1
La3 La 0.6565 0.8435 0.5000 1
Sc2 Sc 0.1400 0.3600 0.0000 1
Sc3 Sc 0.8600 0.6400 0.0000 1
Sc4 Sc 0.6400 0.1400 0.0000 1
La4 La 0.3435 0.1565 0.5000 1
```

Properties
M_tot ... 0.000 μB/atom
Energy of formation ... -235 meV per atom
Space-group type ... No. 127
E ... -5.515 eV/atom
Crystal system ... tetragonal



## AcTl2Hg2Te4 (PBE-GGA)

Data for a relaxed structure of AcTl2Hg2Te4.

CIF file:
```
data_AcTl2Hg2Te4
_chemical_formula_sum 'Ac1 Tl2 Hg2 Te4'
_cell_length_a 4.7580
_cell_length_b 8.5499
_cell_length_c 8.6966
_cell_angle_alpha 107.74
_cell_angle_beta 105.88
_cell_angle_gamma 90.00
_space_group_name_H-M_alt 'P 1'
_space_group_IT_number 1
loop_
_space_group_symop_operation_xyz
'x,y,z'
loop_
_atom_site_label
_atom_site_type_symbol
_atom_site_fract_x
_atom_site_fract_y
_atom_site_fract_z
_atom_site_occupancy
Te1 Te 0.7874 0.7869 0.5748 1
Tl1 Tl 0.8709 0.4485 0.7418 1
Hg1 Hg 0.3330 0.0049 0.6661 1
Hg2 Hg 0.6670 0.9951 0.3339 1
Te2 Te 0.2126 0.2131 0.4252 1
Ac1 Ac 0.0000 0.0000 0.0000 1
Tl2 Tl 0.1291 0.5515 0.2582 1
Te3 Te 0.4957 0.2718 0.9915 1
Te4 Te 0.5043 0.7282 0.0085 1
```

Properties
M_tot ... 0.000 μB/atom
Formation energy from raw total energies ... -4.739 eV/f.u.
Space-group type ... No. 12
E ... -2.972 eV/atom
Crystal system ... monoclinic



## NiIrW2 (PBE-GGA)

Data for a relaxed structure of NiIrW2.

CIF file:
```
data_NiIrW2
_chemical_formula_sum 'Ni1 Ir1 W2'
_cell_length_a 4.7891
_cell_length_b 4.7891
_cell_length_c 4.5860
_cell_angle_alpha 79.07
_cell_angle_beta 79.07
_cell_angle_gamma 34.59
_space_group_name_H-M_alt 'P 1'
_space_group_IT_number 1
loop_
_space_group_symop_operation_xyz
'x,y,z'
loop_
_atom_site_label
_atom_site_type_symbol
_atom_site_fract_x
_atom_site_fract_y
_atom_site_fract_z
_atom_site_occupancy
Ir1 Ir 0.7500 0.7500 0.7500 1
W1 W 0.9997 0.9997 0.0013 1
Ni1 Ni 0.2500 0.2500 0.2500 1
W2 W 0.5003 0.5003 0.4987 1
```

Properties
M_tot ... 0.000 μB/atom
Energy of formation ... 66 meV per atom
Space-group type ... No. 12
E ... -10.071 eV/atom
Crystal system ... monoclinic